# 1
Crystalline Mn2GaReN at its relaxed geometry. Source: Alexandria, functional GGA-PBE.

The structure in POSCAR format:
```
Mn2GaReN
1.0
3.821 0.000 0.000
0.000 3.821 0.000
0.000 0.000 4.052
Mn Ga Re N
2 1 1 1
Cartesian
0.000 1.911 0.000
1.911 0.000 0.000
0.000 0.000 2.026
1.911 1.911 2.026
1.911 1.911 0.000
```


# 2
Crystalline NaZn9Cd2 at its relaxed geometry. Source: Alexandria, functional GGA-PBE.

The structure in POSCAR format:
```
NaZn9Cd2
1.0
2.634 1.521 8.557
-2.634 1.521 8.557
0.000 -3.041 8.557
Na Zn Cd
1 9 2
Cartesian
0.000 0.000 0.000
-1.329 -0.767 10.720
0.000 0.000 8.555
0.000 -1.535 14.952
-1.329 0.767 14.952
0.000 0.000 12.836
1.329 -0.767 10.720
0.000 1.535 10.720
0.000 0.000 17.117
1.329 0.767 14.952
0.000 0.000 3.534
0.000 0.000 22.138
```

Calculated values
Formation energy = -0.02 eV/atom


| no. | total DFT energy (no corrections) (eV/atom) | N(E_F) (states/eV per cell) |
| --- | --- | --- |
| 1 | -8.5369 | 3.0 |
| 2 | -1.2384 | 3.1 |